Entry 1:
KFeTe2N: relaxed, GGA-PBE.

Formation energy (no corrections) = -0.09 eV/f.u.
Calculated volume = 22.99 Å³/atom
Polymorph energy (0 for the lowest one) = 0.000 eV/f.u.
Space group = No. 123
Total moment = 0.673 μB per cell

```
data_KFeTe2N
_chemical_formula_sum 'K1 Fe1 Te2 N1'
_space_group_name_H-M_alt 'P 1'
_space_group_IT_number 1
_space_group_name_Hall 'P 1'
_cell_length_a 5.799
_cell_length_b 5.799
_cell_length_c 3.419
_cell_angle_alpha 90.00
_cell_angle_beta 90.00
_cell_angle_gamma 90.00
loop_
_atom_site_label
_atom_site_fract_x
_atom_site_fract_y
_atom_site_fract_z
K1 0.500 0.500 0.500
Te1 0.000 0.500 0.000
Te2 0.500 0.000 0.000
Fe1 0.000 0.000 0.000
N1 0.000 0.000 0.500
```

Entry 2:
KFeTeN2: relaxed, GGA-PBE.

Formation energy (no corrections) = 11.99 eV/f.u.
Calculated volume = 31.08 Å³/atom
Polymorph energy (0 for the lowest one) = 6.772 eV/f.u.
Space group = No. 123
Total moment = 9.179 μB per cell

```
data_KFeTeN2
_chemical_formula_sum 'K1 Fe1 Te1 N2'
_space_group_name_H-M_alt 'P 1'
_space_group_IT_number 1
_space_group_name_Hall 'P 1'
_cell_length_a 4.734
_cell_length_b 4.734
_cell_length_c 6.933
_cell_angle_alpha 90.00
_cell_angle_beta 90.00
_cell_angle_gamma 90.00
loop_
_atom_site_label
_atom_site_fract_x
_atom_site_fract_y
_atom_site_fract_z
K1 0.000 0.000 0.000
Te1 0.000 0.000 0.500
Fe1 0.500 0.500 0.500
N1 0.000 0.500 0.000
N2 0.500 0.000 0.000
```

Entry 3:
KFe2TeN: relaxed, GGA-PBE.

Formation energy (no corrections) = 8.27 eV/f.u.
Calculated volume = 32.59 Å³/atom
Space group = No. 123
Total moment = 6.002 μB per cell

```
data_KFe2TeN
_chemical_formula_sum 'K1 Fe2 Te1 N1'
_space_group_name_H-M_alt 'P 1'
_space_group_IT_number 1
_space_group_name_Hall 'P 1'
_cell_length_a 4.820
_cell_length_b 7.015
_cell_length_c 4.820
_cell_angle_alpha 90.00
_cell_angle_beta 90.00
_cell_angle_gamma 90.00
loop_
_atom_site_label
_atom_site_fract_x
_atom_site_fract_y
_atom_site_fract_z
K1 0.000 0.500 0.000
Te1 0.000 0.000 0.000
Fe1 0.000 0.000 0.500
Fe2 0.500 0.000 0.000
N1 0.500 0.500 0.500
```

Entry 4:
KFeTe2N: relaxed, GGA-PBE.

Formation energy (no corrections) = 9.50 eV/f.u.
Calculated volume = 35.23 Å³/atom
Polymorph energy (0 for the lowest one) = 9.584 eV/f.u.
Space group = No. 123
Total moment = 6.867 μB per cell

```
data_KFeTe2N
_chemical_formula_sum 'K1 Fe1 Te2 N1'
_space_group_name_H-M_alt 'P 1'
_space_group_IT_number 1
_space_group_name_Hall 'P 1'
_cell_length_a 6.069
_cell_length_b 6.069
_cell_length_c 4.783
_cell_angle_alpha 90.00
_cell_angle_beta 90.00
_cell_angle_gamma 90.00
loop_
_atom_site_label
_atom_site_fract_x
_atom_site_fract_y
_atom_site_fract_z
K1 0.000 0.000 0.000
Te1 0.000 0.500 0.000
Te2 0.500 0.000 0.000
Fe1 0.500 0.500 0.500
N1 0.000 0.000 0.500
```

Entry 5:
KFeTeN2: relaxed, GGA-PBE.

Formation energy (no corrections) = 5.22 eV/f.u.
Calculated volume = 18.03 Å³/atom
Polymorph energy (0 for the lowest one) = 0.000 eV/f.u.
Space group = No. 123
Total moment = 5.483 μB per cell

```
data_KFeTeN2
_chemical_formula_sum 'K1 Fe1 Te1 N2'
_space_group_name_H-M_alt 'P 1'
_space_group_IT_number 1
_space_group_name_Hall 'P 1'
_cell_length_a 4.202
_cell_length_b 4.202
_cell_length_c 5.105
_cell_angle_alpha 90.00
_cell_angle_beta 90.00
_cell_angle_gamma 90.00
loop_
_atom_site_label
_atom_site_fract_x
_atom_site_fract_y
_atom_site_fract_z
K1 0.500 0.500 0.500
Te1 0.000 0.000 0.500
Fe1 0.000 0.000 0.000
N1 0.000 0.500 0.000
N2 0.500 0.000 0.000
```

Entry 6:
K3NaFe: relaxed, GGA-PBE.

Calculated volume = 56.07 Å³/atom
Polymorph energy (0 for the lowest one) = 0.000 eV/f.u.
Space group = No. 221
Calculated formation energy = 0.719 eV/atom
Total moment = 2.421 μB per cell

```
data_K3NaFe
_chemical_formula_sum 'K3 Na1 Fe1'
_space_group_name_H-M_alt 'P 1'
_space_group_IT_number 1
_space_group_name_Hall 'P 1'
_cell_length_a 6.545
_cell_length_b 6.545
_cell_length_c 6.545
_cell_angle_alpha 90.00
_cell_angle_beta 90.00
_cell_angle_gamma 90.00
loop_
_atom_site_label
_atom_site_fract_x
_atom_site_fract_y
_atom_site_fract_z
Na1 0.500 0.500 0.500
K1 0.000 0.500 0.000
K2 0.000 0.000 0.500
K3 0.500 0.000 0.000
Fe1 0.000 0.000 0.000
```

Question: Which value of calculated volume does entry 5 give?
Answer: 18.03 Å³/atom